Entry 1:
Si3Ni7 | PBE-GGA | relaxed

```
Si3Ni7
1.0
3.6905 0.0000 0.0000
0.0000 4.9455 0.0576
-1.8452 -1.5637 5.9941
Ni Si
7 3
direct
0.7934 0.8568 0.5868
0.2066 0.1432 0.4132
0.0000 0.5000 0.0000
0.4172 0.1483 0.8343
0.5828 0.8517 0.1657
0.6233 0.3794 0.2466
0.3767 0.6206 0.7534
0.0000 0.0000 0.0000
0.8095 0.3354 0.6190
0.1905 0.6646 0.3810
```

energy relative to the elements, uncorrected: -484 meV/atom
space group: C2/m (12)
calculated density: 7.5 g/cm3
magnetic moment: 0.00 μB per formula unit
total DFT energy (no corrections): -61.6 eV/f.u.

---

Entry 2:
Si2Ni | PBE-GGA | relaxed

```
Si2Ni
1.0
4.3248 1.2980 4.3506
-5.3126 -2.9049 1.6293
1.4518 -2.9680 -0.5577
Si Ni
6 3
direct
0.6184 0.0000 0.5000
0.0000 0.2725 0.0000
0.3816 0.3816 0.5000
0.7276 0.7276 0.0000
0.0000 0.6184 0.5000
0.2725 0.0000 0.0000
0.6667 0.3333 0.0000
0.3333 0.6667 0.0000
0.0000 0.0000 0.5000
```

energy relative to the elements, uncorrected: -174 meV/atom
space group: P-62m (189)
calculated density: 5.0 g/cm3
magnetic moment: 0.00 μB per formula unit
total DFT energy (no corrections): -17.2 eV/f.u.

---

Entry 3:
Si12Ni31 | PBE-GGA | relaxed

```
Si12Ni31
1.0
-1.3211 -5.6403 3.2940
-2.1182 0.7704 -6.2713
10.5079 -4.8845 -4.1491
Ni Si
31 12
direct
0.6653 0.9627 0.1978
0.0344 0.3576 0.6948
0.0000 0.0000 0.0971
0.9199 0.3330 0.0952
0.3347 0.2975 0.8022
0.9656 0.3232 0.3052
0.6922 0.0625 0.5962
0.6670 0.5869 0.0952
0.7025 0.0373 0.8022
0.6768 0.6424 0.3052
0.5869 0.6670 0.9048
0.9375 0.6297 0.5962
0.0373 0.7025 0.1978
0.3333 0.6667 0.5671
0.3576 0.0344 0.3052
0.3078 0.3703 0.4038
0.6424 0.6768 0.6948
0.6667 0.3333 0.4329
0.3330 0.9199 0.9048
0.3232 0.9656 0.6948
0.0625 0.6922 0.4038
0.3703 0.3078 0.5962
0.6667 0.3333 0.9266
0.0000 0.0000 0.5000
0.6297 0.9375 0.4038
0.4131 0.0801 0.0952
0.0000 0.0000 0.9029
0.3333 0.6667 0.0734
0.2975 0.3347 0.1978
0.9627 0.6653 0.8022
0.0801 0.4131 0.9048
0.6813 0.0000 0.0000
0.0000 0.0000 0.2925
0.3187 0.3187 0.0000
0.6667 0.3333 0.2264
0.0000 0.6813 0.0000
0.0000 0.0000 0.7075
0.3333 0.6667 0.7736
0.6487 0.6487 0.5000
0.0000 0.3513 0.5000
0.6667 0.3333 0.7247
0.3513 0.0000 0.5000
0.3333 0.6667 0.2753
```

energy relative to the elements, uncorrected: -491 meV/atom
space group: P321 (150)
calculated density: 7.6 g/cm3
magnetic moment: 0.00 μB per formula unit
total DFT energy (no corrections): -265.4 eV/f.u.